# 1
Computed, not measured: a relaxed Y4Lu2In3N3 crystal at the GGA-PBE level of DFT.

```
Y4Lu2In3N3
1.0
-1.646 -2.690 5.167
-3.386 -5.015 -0.147
14.616 -6.146 -2.099
In Lu N Y
6 4 6 8
Direct
0.583 0.729 0.249
0.894 0.106 0.250
0.271 0.417 0.251
0.729 0.583 0.749
0.106 0.894 0.750
0.417 0.271 0.751
0.526 0.357 0.080
0.643 0.474 0.420
0.357 0.526 0.580
0.474 0.643 0.920
0.500 0.000 0.000
0.823 0.338 0.000
0.177 0.662 0.000
0.338 0.823 0.500
0.000 0.500 0.500
0.662 0.177 0.500
0.193 0.032 0.087
0.865 0.696 0.087
0.304 0.135 0.413
0.968 0.807 0.413
0.032 0.193 0.587
0.696 0.865 0.587
0.135 0.304 0.913
0.807 0.968 0.913
```



# 2
Computed, not measured: a relaxed TmTlPd crystal at the GGA-PBE level of DFT.

```
TmTlPd
1.0
0.000 3.391 3.391
3.391 0.000 3.391
3.391 3.391 0.000
Pd Tl Tm
1 1 1
Direct
0.250 0.250 0.250
0.750 0.750 0.750
0.000 0.000 0.000
```



# 3
Computed, not measured: a relaxed Sm4BeIr crystal at the GGA-PBE level of DFT.

```
Sm4BeIr
1.0
-6.721 -0.033 0.585
0.449 -6.640 1.106
0.348 0.696 4.039
Be Ir Sm
1 1 4
Direct
0.000 0.000 0.000
0.500 0.500 0.500
0.295 0.295 0.000
0.705 0.705 0.000
0.789 0.211 0.500
0.211 0.789 0.500
```



# 4
Computed, not measured: a relaxed Y4Zr2Sn3C3 crystal at the GGA-PBE level of DFT.

```
Y4Zr2Sn3C3
1.0
-4.677 1.241 -3.801
4.516 -3.763 -1.818
-9.110 -9.884 8.074
C Sn Y Zr
6 6 8 4
Direct
0.500 0.000 0.000
0.192 0.346 0.000
0.808 0.654 0.000
0.654 0.308 0.500
0.000 0.000 0.500
0.346 0.692 0.500
0.582 0.534 0.249
0.878 0.128 0.250
0.286 0.833 0.251
0.714 0.167 0.749
0.122 0.872 0.750
0.418 0.466 0.751
0.192 0.055 0.090
0.869 0.394 0.090
0.303 0.279 0.410
0.965 0.602 0.410
0.035 0.398 0.590
0.697 0.721 0.590
0.131 0.606 0.910
0.808 0.945 0.910
0.526 0.723 0.077
0.646 0.949 0.423
0.354 0.051 0.577
0.474 0.277 0.923
```



# 5
Computed, not measured: a relaxed PrAgPbSe3 crystal at the GGA-PBE level of DFT.

```
PrAgPbSe3
1.0
2.098 -6.968 0.000
2.098 6.968 0.000
0.000 0.000 10.972
Ag Pb Pr Se
2 2 2 6
Direct
0.029 0.971 0.250
0.971 0.029 0.750
0.739 0.261 0.250
0.261 0.739 0.750
0.500 0.500 0.000
0.500 0.500 0.500
0.147 0.853 0.062
0.407 0.593 0.250
0.147 0.853 0.438
0.853 0.147 0.562
0.593 0.407 0.750
0.853 0.147 0.938
```

ΔE to the lowest computed polymorph ... 7 meV per atom



# 6
Computed, not measured: a relaxed Rb2MoPbN4 crystal at the GGA-PBE level of DFT.

```
Rb2MoPbN4
1.0
3.501 -2.591 4.299
-4.152 -4.432 0.758
2.295 1.149 -5.556
Mo N Pb Rb
1 4 1 2
Direct
0.500 0.500 0.000
0.610 0.259 0.102
0.741 0.843 0.351
0.492 0.390 0.649
0.157 0.508 0.898
0.750 0.250 0.500
0.000 0.000 0.000
0.250 0.750 0.500
```



# 7
Computed, not measured: a relaxed TcAu2 crystal at the GGA-PBE level of DFT.

```
TcAu2
1.0
0.989 -5.184 0.333
-3.900 -3.490 -0.756
-0.064 -2.990 -4.362
Au Tc
4 2
Direct
0.625 0.625 0.125
0.625 0.125 0.625
0.125 0.625 0.625
0.625 0.625 0.625
0.000 0.000 0.000
0.250 0.250 0.250
```



# 8
Computed, not measured: a relaxed Cu5Ag4 crystal at the GGA-PBE level of DFT.

```
Cu5Ag4
1.0
2.106 -6.743 -0.011
-5.951 -3.269 1.954
4.441 3.388 -4.326
Ag Cu
4 5
Direct
0.362 0.362 0.000
0.646 0.646 0.000
0.006 0.673 0.334
0.339 0.673 0.666
0.991 0.991 0.000
0.289 0.992 0.297
0.685 0.335 0.349
0.986 0.335 0.651
0.695 0.992 0.703
```

ΔE to the lowest computed polymorph ... 45 meV per atom



# 9
Computed, not measured: a relaxed DyPaAsO crystal at the GGA-PBE level of DFT.

```
DyPaAsO
1.0
-0.015 0.949 4.098
-4.124 -0.810 0.173
1.806 -8.759 2.035
As Dy O Pa
2 2 2 2
Direct
0.000 0.500 0.278
0.500 0.000 0.722
0.000 0.000 0.500
0.500 0.500 0.500
0.000 0.000 0.000
0.500 0.500 0.000
0.500 0.000 0.134
0.000 0.500 0.866
```

ΔE to the lowest computed polymorph ... 0 meV per atom



# 10
Computed, not measured: a relaxed Nb2SiOs crystal at the GGA-PBE level of DFT.

```
Nb2SiOs
1.0
-2.198 2.455 3.000
-2.861 3.137 -1.353
-4.380 -0.581 0.576
Nb Os Si
2 1 1
Direct
0.000 0.000 0.000
0.750 0.750 0.750
0.250 0.250 0.250
0.500 0.500 0.500
```



# 11
Computed, not measured: a relaxed ErAlFe2C crystal at the GGA-PBE level of DFT.

```
ErAlFe2C
1.0
-1.108 3.285 -1.962
-3.151 0.376 2.408
2.527 2.586 2.903
Al C Er Fe
1 1 1 2
Direct
0.000 0.000 0.000
0.500 0.500 0.500
0.500 0.500 0.000
0.500 0.000 0.500
0.000 0.500 0.500
```



# 12
Computed, not measured: a relaxed Sm2TmMg3Tl2Cd crystal at the GGA-PBE level of DFT.

```
Sm2TmMg3Tl2Cd
1.0
-3.145 -3.447 0.094
4.544 -4.262 -4.272
0.635 -0.375 7.518
Cd Mg Sm Tl Tm
1 3 2 2 1
Direct
0.000 0.009 0.009
0.500 0.999 0.240
0.500 0.763 0.763
0.500 0.240 0.999
0.000 0.997 0.573
0.000 0.573 0.997
0.500 0.661 0.334
0.500 0.334 0.661
0.000 0.423 0.423
```



# 13
Computed, not measured: a relaxed HoSn4O crystal at the GGA-PBE level of DFT.

```
HoSn4O
1.0
-3.002 4.737 0.590
-3.339 -3.842 2.426
2.412 0.931 4.795
Ho O Sn
1 1 4
Direct
0.500 0.500 0.000
0.000 0.000 0.500
0.841 0.159 0.000
0.159 0.841 0.000
0.287 0.287 0.500
0.713 0.713 0.500
```



# 14
Computed, not measured: a relaxed Tm3In3AgPd2 crystal at the GGA-PBE level of DFT.

```
Tm3In3AgPd2
1.0
7.801 0.000 0.000
-3.901 6.756 0.000
0.000 0.000 3.738
Ag In Pd Tm
1 3 2 3
Direct
0.000 0.000 0.500
0.730 0.000 0.000
0.270 0.270 0.000
0.000 0.730 0.000
0.667 0.333 0.000
0.333 0.667 0.000
0.408 0.000 0.500
0.000 0.408 0.500
0.592 0.592 0.500
```



# 15
Computed, not measured: a relaxed Sr2LuGa crystal at the GGA-PBE level of DFT.

```
Sr2LuGa
1.0
0.000 3.994 3.994
3.994 0.000 3.994
3.994 3.994 0.000
Ga Lu Sr
1 1 2
Direct
0.500 0.500 0.500
0.250 0.250 0.250
0.000 0.000 0.000
0.750 0.750 0.750
```



# 16
Computed, not measured: a relaxed Li4Pr2O5 crystal at the GGA-PBE level of DFT.

```
Li4Pr2O5
1.0
-3.229 -3.374 -0.329
-3.199 3.606 -5.571
1.938 -1.457 -4.074
Li O Pr
4 5 2
Direct
0.000 0.000 0.000
0.000 0.378 0.311
0.500 0.000 0.500
0.000 0.622 0.689
0.500 0.000 0.000
0.000 0.674 0.163
0.500 0.312 0.344
0.500 0.688 0.656
0.000 0.326 0.837
0.500 0.681 0.159
0.500 0.319 0.841
```



# 17
Computed, not measured: a relaxed SmDyGe2Ir crystal at the GGA-PBE level of DFT.

```
SmDyGe2Ir
1.0
5.339 -2.162 0.000
5.339 2.162 0.000
-4.778 0.000 9.290
Dy Ge Ir Sm
2 4 2 2
Direct
0.189 0.189 0.119
0.811 0.811 0.881
0.481 0.481 0.114
0.350 0.350 0.446
0.650 0.650 0.554
0.519 0.519 0.886
0.728 0.728 0.333
0.273 0.273 0.667
0.007 0.007 0.328
0.993 0.993 0.672
```

ΔE to the lowest computed polymorph ... 4 meV per atom



# 18
Computed, not measured: a relaxed Zn2Tc crystal at the GGA-PBE level of DFT.

```
Zn2Tc
1.0
-3.477 0.240 -2.892
-5.536 -2.508 6.448
-0.606 4.084 1.068
Tc Zn
4 8
Direct
0.017 0.000 0.000
0.517 0.500 0.000
0.317 0.000 0.500
0.817 0.500 0.500
0.510 0.171 0.000
0.010 0.329 0.000
0.010 0.671 0.000
0.510 0.829 0.000
0.823 0.171 0.500
0.323 0.329 0.500
0.323 0.671 0.500
0.823 0.829 0.500
```

ΔE to the lowest computed polymorph ... 13 meV per atom



# 19
Computed, not measured: a relaxed FeReHgB crystal at the GGA-PBE level of DFT.

```
FeReHgB
1.0
0.000 2.981 2.981
2.981 0.000 2.981
2.981 2.981 0.000
B Fe Hg Re
1 1 1 1
Direct
0.000 0.000 0.000
0.750 0.750 0.750
0.500 0.500 0.500
0.250 0.250 0.250
```

ΔE to the lowest computed polymorph ... 0 meV per atom



# 20
Computed, not measured: a relaxed TmTc crystal at the GGA-PBE level of DFT.

```
TmTc
1.0
0.000 2.794 2.794
2.794 0.000 2.794
2.794 2.794 0.000
Tc Tm
1 1
Direct
0.000 0.000 0.000
0.500 0.500 0.500
```



Number 1: final energy -6.73 eV/atom. Number 2: final energy -4.09 eV/atom. Number 3: final energy -5.28 eV/atom. Number 4: final energy -7.54 eV/atom. Number 5: final energy -4.60 eV/atom. Number 6: final energy -6.17 eV/atom. Number 7: final energy -4.80 eV/atom. Number 8: final energy -3.23 eV/atom. Number 9: final energy -7.25 eV/atom. Number 10: final energy -9.33 eV/atom. Number 11: final energy -6.74 eV/atom. Number 12: final energy -3.01 eV/atom. Number 13: final energy -4.44 eV/atom. Number 14: final energy -4.55 eV/atom. Number 15: final energy -2.60 eV/atom. Number 16: final energy -6.14 eV/atom. Number 17: final energy -6.38 eV/atom. Number 18: final energy -4.26 eV/atom. Number 19: final energy -5.71 eV/atom. Number 20: final energy -6.56 eV/atom.